First-principles (GGA-PBE) data for a relaxed structure of ZrRe2Sb, as listed in Alexandria.

The calculation puts the calculated density at 13.19 g cm⁻³. The electronic total energy comes out at -71.14 eV/cell. For the magnetic moment, the calculation gives 0.00 μB/f.u. As for the density of states at the Fermi level: 7.0 states/eV/cell. The formation energy without anion corrections comes out at 0.500 eV per atom.

The structure belongs to space group Cmmm (No. 65); the cell edges are 3.380, 5.051 and 8.635 Å and the angles 90.00°, 90.00° and 90.00°. The asymmetric unit holds Zr at (0.000, 0.000, 0.000), Re at (0.000, 0.500, 0.252) and Sb at (0.000, 0.000, 0.500).